No. 1
A relaxed structure of Tb2Sm3Th, computed with PBE.

The space group is Cmc2_1 (No. 36) and the conventional cell measures 9.454, 13.191 and 6.520 Å, with angles of 90.00, 90.00 and 90.00 degrees. Symmetry generates all atoms from Tb at (0.181, 0.074, 0.000), Sm at (0.000, 0.414, 0.260), Sm at (0.183, 0.181, 0.484) and Th at (0.000, 0.329, 0.778).

The value obtained for the distance to the lowest polymorph of the same formula is 0 meV/atom. The value obtained for the total energy is -117.6 eV per cell. The calculated density comes out at 8.177 g cm⁻³. Its crystal system is orthorhombic.

No. 2
A relaxed structure of Ho4Tm3Pt4, computed with PBE.

The space group is Immm (No. 71) and the conventional cell measures 3.757, 8.706 and 16.275 Å, with angles of 90.00, 90.00 and 90.00 degrees. Symmetry generates all atoms from Ho at (0.000, 0.187, 0.166), Tm at (0.000, 0.000, 0.402), Tm at (0.000, 0.500, 0.500), Pt at (0.000, 0.292, 0.000) and Pt at (0.000, 0.500, 0.242).

The value obtained for the total energy is -132.5 eV per cell. The calculated density comes out at 12.147 g cm⁻³. Its crystal system is orthorhombic.

No. 3
A relaxed structure of Mn2TeOs, computed with PBE.

The space group is I4/mmm (No. 139) and the conventional cell measures 3.975, 3.975 and 8.041 Å, with angles of 90.00, 90.00 and 90.00 degrees. Symmetry generates all atoms from Mn at (0.000, 0.500, 0.250), Te at (0.000, 0.000, 0.000) and Os at (0.000, 0.000, 0.500).

The value obtained for the total energy is -61.4 eV per cell. The calculated density comes out at 11.180 g cm⁻³. For the uncorrected formation energy, the calculation gives 0.506 eV/atom. Its crystal system is tetragonal.

No. 4
A relaxed structure of Ho12TmAl3, computed with PBE.

The space group is P4/mmm (No. 123) and the conventional cell measures 4.772, 4.772 and 19.380 Å, with angles of 90.00, 90.00 and 90.00 degrees. Symmetry generates all atoms from Ho at (0.000, 0.000, 0.000), Ho at (0.000, 0.000, 0.244), Ho at (0.000, 0.000, 0.500), Ho at (0.000, 0.500, 0.122), Ho at (0.000, 0.500, 0.367), Tm at (0.500, 0.500, 0.500), Al at (0.500, 0.500, 0.000) and Al at (0.500, 0.500, 0.243).

The value obtained for the total energy is -72.7 eV per cell. The calculated density comes out at 8.388 g cm⁻³. Its crystal system is tetragonal.

No. 5
A relaxed structure of Ta2TlPdF, computed with PBE.

The space group is P4/mmm (No. 123) and the conventional cell measures 5.226, 5.226 and 4.312 Å, with angles of 90.00, 90.00 and 90.00 degrees. Symmetry generates all atoms from Ta at (0.000, 0.500, 0.000), Tl at (0.000, 0.000, 0.000), Pd at (0.500, 0.500, 0.500) and F at (0.000, 0.000, 0.500).

The value obtained for the total energy is -25.3 eV per cell. The calculated density comes out at 9.754 g cm⁻³. For the uncorrected formation energy, the calculation gives 1.558 eV/atom. Its crystal system is tetragonal.

No. 6
A relaxed structure of Ba2AgHg2, computed with PBE.

The space group is C2/m (No. 12) and the conventional cell measures 12.333, 4.888 and 12.985 Å, with angles of 90.00, 116.85 and 90.00 degrees. Symmetry generates all atoms from Ba at (0.034, 0.000, 0.352), Ba at (0.191, 0.000, 0.113), Ag at (0.225, 0.500, 0.327), Hg at (0.019, 0.500, 0.880) and Hg at (0.143, 0.500, 0.577).

The value obtained for the distance to the lowest polymorph of the same formula is 0 meV/atom. The value obtained for the total energy is -37.7 eV per cell. The calculated density comes out at 7.453 g cm⁻³. Its crystal system is monoclinic.